No. 1
Density functional theory data (PBE) for a relaxed Tb6SmDy12 crystal.

a = 11.8969 Å, b = 11.8969 Å, c = 15.1249 Å
α = 90.00°, β = 90.00°, γ = 120.00°
Space group R-3 (No. 148, hexagonal axes)
Asymmetric unit:
Tb (0.0095, 0.4220, 0.1797) x18
Sm (0.0000, 0.0000, 0.5000) x3
Dy (0.0160, 0.8357, 0.6915) x18
Dy (0.0415, 0.8516, 0.9159) x18

Calculated values
The crystal system is trigonal. The calculation puts the energy above the most stable polymorph in this dataset at 0 meV/atom. As for the formation energy: 0.15 eV per atom.

No. 2
Density functional theory data (PBE) for a relaxed Y3InGa3 crystal.

a = 11.154 Å, b = 4.429 Å, c = 14.243 Å
α = 90.00°, β = 109.57°, γ = 90.00°
Space group C2/m (No. 12)
Asymmetric unit:
Y (0.012, 0.000, 0.369) x4
Y (0.109, 0.000, 0.927) x4
Y (0.233, 0.000, 0.218) x4
In (0.230, 0.500, 0.392) x4
Ga (0.012, 0.500, 0.220) x4
Ga (0.109, 0.500, 0.074) x4
Ga (0.120, 0.500, 0.550) x4

Calculated values
The crystal system is monoclinic. As for the formation energy: -0.61 eV per atom.

No. 3
Density functional theory data (PBE) for a relaxed Ce2SmPuN4 crystal.

a = 6.148 Å, b = 3.559 Å, c = 6.151 Å
α = 90.00°, β = 109.62°, γ = 90.00°
Space group P2/m (No. 10)
Asymmetric unit:
Ce (0.000, 0.000, 0.000) x1
Ce (0.500, 0.500, 0.000) x1
Sm (0.000, 0.500, 0.500) x1
Pu (0.500, 0.000, 0.500) x1
N (0.258, 0.000, 0.754) x2
N (0.260, 0.500, 0.256) x2

Calculated values
The crystal system is monoclinic. The energy relative to the elements, uncorrected comes out at -1.432 eV per atom.

No. 4
Density functional theory data (PBE) for a relaxed BaZrRu2 crystal.

a = 3.3738 Å, b = 3.3738 Å, c = 26.3833 Å
α = 90.00°, β = 90.00°, γ = 120.00°
Space group R-3m (No. 166, hexagonal axes)
Asymmetric unit:
Ba (0.0000, 0.0000, 0.0000) x3
Zr (0.0000, 0.0000, 0.5000) x3
Ru (0.0000, 0.0000, 0.2382) x6

Calculated values
The crystal system is trigonal. The calculation puts the energy above the most stable polymorph in this dataset at 269 meV/atom. As for the formation energy: 0.40 eV per atom.

No. 5
Density functional theory data (PBE) for a relaxed Li4Mg7Ag crystal.

a = 14.085 Å, b = 5.139 Å, c = 8.180 Å
α = 90.00°, β = 119.54°, γ = 90.00°
Space group C2/m (No. 12)
Asymmetric unit:
Li (0.058, 0.000, 0.196) x4
Li (0.177, 0.000, 0.862) x4
Mg (0.000, 0.000, 0.500) x2
Mg (0.079, 0.500, 0.923) x4
Mg (0.188, 0.500, 0.364) x4
Mg (0.228, 0.500, 0.754) x4
Ag (0.000, 0.500, 0.500) x2

Calculated values
The crystal system is monoclinic. As for the formation energy: 0.03 eV per atom.